# GGA-PBE OsWSCl2, optimized geometry
data_OsWSCl2
_space_group_name_H-M_alt 'P 4/m m m'
_space_group_IT_number 123
_space_group_name_Hall '-P 4 2'
_cell_length_a 4.8255
_cell_length_b 4.8255
_cell_length_c 4.6532
_cell_angle_alpha 90.00
_cell_angle_beta 90.00
_cell_angle_gamma 90.00
loop_
_atom_site_label
_atom_site_type_symbol
_atom_site_fract_x
_atom_site_fract_y
_atom_site_fract_z
Os1 Os 0.0000 0.0000 0.0000
W1 W 0.5000 0.5000 0.5000
S1 S 0.5000 0.5000 0.0000
Cl1 Cl 0.0000 0.5000 0.5000
# raw total energy = -5.12 eV per atom
# formation energy (no corrections) = 123.9 kJ/mol of atoms
# Fermi-level density of states = 1.11 states/eV per atom